No. 1
Crystalline Sr2HfPd at its relaxed geometry. Source: OQMD, functional GGA-PBE.

a b c (Å): 5.3097 5.3097 5.3097
angles (deg): 60.00 60.00 60.00
Last column: nearest neighbours and their distance in Å.
Atoms (fractional coordinates):
Pd  0.5000  0.5000  0.5000  4 Hf 3.25, 4 Sr 3.25
Hf  0.2500  0.2500  0.2500  4 Pd 3.25, 4 Sr 3.25
Sr  0.0000  0.0000  0.0000  4 Hf 3.25, 4 Sr 3.25
Sr  0.7500  0.7500  0.7500  4 Sr 3.25, 4 Pd 3.25

E (eV/atom): -4.182
Magnetic moment (μB per cell): 0.708



No. 2
Crystalline InW3CN at its relaxed geometry. Source: OQMD, functional GGA-PBE.

a b c (Å): 3.1574 3.1574 18.6763
angles (deg): 90.00 90.00 120.00
Last column: nearest neighbours and their distance in Å.
Atoms (fractional coordinates):
W  0.6667  0.3333  0.1264  3 C 2.12
W  0.0000  0.0000  0.0000  6 C 2.23
W  0.3333  0.6667  0.8736  3 C 2.12
W  0.0000  0.0000  0.5000  6 N 2.16
W  0.3333  0.6667  0.6202  3 N 2.12
W  0.6667  0.3333  0.3798  3 N 2.12
C  0.3333  0.6667  0.0684  6 W 2.12-2.23
C  0.6667  0.3333  0.9316  6 W 2.12-2.23
In  0.0000  0.0000  0.7464  6 W 2.98-2.99, 6 In 3.16
In  0.0000  0.0000  0.2536  6 W 2.98-2.99, 6 In 3.16
N  0.3333  0.6667  0.4379  6 W 2.12-2.16
N  0.6667  0.3333  0.5621  6 W 2.12-2.16

E (eV/atom): -9.538
Magnetic moment (μB per cell): 0.006



No. 3
Crystalline Ba2Zn2O5 at its relaxed geometry. Source: OQMD, functional GGA-PBE.

a b c (Å): 9.2757 4.3147 4.3147
angles (deg): 90.00 90.00 90.00
Last column: nearest neighbours and their distance in Å.
Atoms (fractional coordinates):
Zn  0.0000  0.0000  0.0000  8 O 2.29
Zn  0.5000  0.0000  0.0000  4 O 3.05
O  0.9179  0.5000  0.0000  1 O 1.52
O  0.0821  0.0000  0.5000  1 O 1.52
O  0.5000  0.5000  0.5000  2 Ba 2.37
O  0.0821  0.5000  0.0000  1 O 1.52
O  0.9179  0.0000  0.5000  1 O 1.52
Ba  0.7556  0.5000  0.5000  5 O 2.37-2.63
Ba  0.2444  0.5000  0.5000  5 O 2.37-2.63

ΔE to the lowest computed polymorph (eV/atom): 0.728



No. 4
Crystalline SiPdAu at its relaxed geometry. Source: OQMD, functional GGA-PBE.

a b c (Å): 4.1627 4.1627 4.1627
angles (deg): 60.00 60.00 60.00
Last column: nearest neighbours and their distance in Å.
Atoms (fractional coordinates):
Au  0.2500  0.2500  0.2500  4 Si 2.55
Pd  0.7500  0.7500  0.7500  4 Si 2.55
Si  0.0000  0.0000  0.0000  4 Pd 2.55, 4 Au 2.55

E (eV/atom): -4.907



No. 5
Crystalline In2IrPd at its relaxed geometry. Source: OQMD, functional GGA-PBE.

a b c (Å): 4.6567 4.6567 4.6567
angles (deg): 60.00 60.00 60.00
Last column: nearest neighbours and their distance in Å.
Atoms (fractional coordinates):
In  0.2500  0.2500  0.2500  4 Ir 2.85, 4 In 2.85
In  0.0000  0.0000  0.0000  4 Pd 2.85, 4 In 2.85
Ir  0.5000  0.5000  0.5000  4 In 2.85, 4 Pd 2.85
Pd  0.7500  0.7500  0.7500  4 Ir 2.85, 4 In 2.85

E (eV/atom): -4.820
Magnetic moment (μB per cell): 0.007



No. 6
Crystalline Re3Sn7 at its relaxed geometry. Source: OQMD, functional GGA-PBE.

a b c (Å): 5.3280 5.3280 23.6653
angles (deg): 90.00 90.00 141.34
Last column: nearest neighbours and their distance in Å.
Atoms (fractional coordinates):
Re  0.4798  0.5202  0.7500  7 Sn 2.80-2.85
Re  0.0717  0.9283  0.4437  8 Sn 2.72-2.90, 1 Re 3.03
Re  0.9283  0.0717  0.9437  8 Sn 2.72-2.90, 1 Re 3.03
Re  0.0717  0.9283  0.0563  8 Sn 2.72-2.90, 1 Re 3.03
Re  0.9283  0.0717  0.5563  8 Sn 2.72-2.90, 1 Re 3.03
Re  0.5202  0.4798  0.2500  7 Sn 2.80-2.85
Sn  0.6746  0.3254  0.1321  2 Re 2.72, 3 Sn 2.80-3.01
Sn  0.9437  0.0563  0.1632  3 Sn 2.80-3.01, 3 Re 2.81-2.84
Sn  0.7632  0.2368  0.7500  3 Re 2.80-2.85
Sn  0.0563  0.9437  0.8368  3 Sn 2.80-3.01, 3 Re 2.81-2.84
Sn  0.2368  0.7632  0.2500  3 Re 2.80-2.85
Sn  0.6445  0.3555  0.5334  5 Re 2.85-2.90, 2 Sn 3.18
Sn  0.3254  0.6746  0.8679  2 Re 2.72, 3 Sn 2.80-3.01
Sn  0.9437  0.0563  0.3368  3 Sn 2.80-3.01, 3 Re 2.81-2.84
Sn  0.3555  0.6445  0.0334  5 Re 2.85-2.90, 2 Sn 3.18
Sn  0.6746  0.3254  0.3679  2 Re 2.72, 3 Sn 2.80-3.01
Sn  0.3555  0.6445  0.4666  5 Re 2.85-2.90, 2 Sn 3.18
Sn  0.3254  0.6746  0.6321  2 Re 2.72, 3 Sn 2.80-3.01
Sn  0.6445  0.3555  0.9666  5 Re 2.85-2.90, 2 Sn 3.18
Sn  0.0563  0.9437  0.6632  3 Sn 2.80-3.01, 3 Re 2.81-2.84

E (eV/atom): -6.314
Magnetic moment (μB per cell): 0.002



No. 7
Crystalline Na4ZnGa2Au at its relaxed geometry. Source: OQMD, functional GGA-PBE.

a b c (Å): 4.8479 4.8479 6.8581
angles (deg): 90.00 90.00 90.00
Last column: nearest neighbours and their distance in Å.
Atoms (fractional coordinates):
Ga  0.0000  0.5000  0.7493  4 Na 2.97, 2 Zn 2.97, 2 Au 2.97
Ga  0.5000  0.0000  0.2507  4 Na 2.97, 2 Zn 2.97, 2 Au 2.97
Na  0.0000  0.0000  0.5000  4 Ga 2.97, 4 Na 2.97
Na  0.5000  0.0000  0.7505  4 Na 2.97, 2 Au 2.97, 2 Zn 2.97
Na  0.0000  0.5000  0.2495  4 Na 2.97, 2 Au 2.97, 2 Zn 2.97
Na  0.5000  0.5000  0.0000  4 Na 2.97, 4 Ga 2.97
Zn  0.5000  0.5000  0.5000  4 Ga 2.97, 4 Na 2.97
Au  0.0000  0.0000  0.0000  4 Na 2.97, 4 Ga 2.97

E (eV/atom): -2.077



No. 8
Crystalline K4Hg13 at its relaxed geometry. Source: OQMD, functional GGA-PBE.

a b c (Å): 11.5872 11.5872 9.7197
angles (deg): 114.00 114.00 28.32
Last column: nearest neighbours and their distance in Å.
Atoms (fractional coordinates):
Hg  0.8654  0.8654  0.7544  6 Hg 3.25-3.63
Hg  0.3534  0.3534  0.9735  5 Hg 3.18-3.45
Hg  0.2025  0.2025  0.9155  6 Hg 3.20-3.51, 4 K 3.39-3.47
Hg  0.1346  0.1346  0.2456  6 Hg 3.25-3.63
Hg  0.2727  0.2727  0.6147  5 Hg 3.18-3.48, 1 K 3.46
Hg  0.5000  0.5000  0.0000  4 Hg 3.19-3.44, 4 K 3.58
Hg  0.7273  0.7273  0.3853  5 Hg 3.18-3.48, 1 K 3.46
Hg  0.6466  0.6466  0.0265  5 Hg 3.18-3.45
Hg  0.4595  0.4595  0.6171  4 Hg 3.22-3.46, 3 K 3.53-3.56
Hg  0.9010  0.9010  0.4626  4 Hg 3.22-3.43, 2 K 3.51
Hg  0.7975  0.7975  0.0845  6 Hg 3.20-3.51, 4 K 3.39-3.47
Hg  0.0990  0.0990  0.5374  4 Hg 3.22-3.43, 2 K 3.51
Hg  0.5405  0.5405  0.3829  4 Hg 3.22-3.46, 3 K 3.53-3.56
K  0.3053  0.3053  0.2970  11 Hg 3.45-3.73
K  0.6947  0.6947  0.7030  11 Hg 3.45-3.73
K  0.9600  0.9600  0.1693  11 Hg 3.39-3.69
K  0.0400  0.0400  0.8307  11 Hg 3.39-3.69

E (eV/atom): -0.673